HgPPb2 | PBE | optimized geometry

Output
ΔH_f (0 K), kJ per mole of atoms: 18.40

Geometry as POSCAR:
```
HgPPb2
1.0
-3.4283 3.4283 6.0332
3.4283 -3.4283 6.0332
3.4283 3.4283 -6.0332
Hg P Pb
2 2 4
direct
0.0000 0.0000 0.0000 Hg
0.7500 0.2500 0.5000 Hg
0.2500 0.7500 0.5000 P
0.5000 0.5000 0.0000 P
0.1556 0.6250 0.0306 Pb
0.3750 0.4056 0.5306 Pb
0.5944 0.1250 0.9694 Pb
0.8750 0.8444 0.4694 Pb
```



CaCoGe2S | PBE | optimized geometry

Output
Uncorrected formation energy, eV/f.u.: 0.475

Geometry as POSCAR:
```
CaCoGe2S
1.0
5.1485 0.0000 0.0000
0.0000 5.1485 0.0000
0.0000 0.0000 4.0676
Ca Co Ge S
1 1 2 1
direct
0.0000 0.0000 0.0000 Ca
0.5000 0.5000 0.0000 Co
0.0000 0.5000 0.5000 Ge
0.5000 0.0000 0.5000 Ge
0.5000 0.5000 0.5000 S
```



AcCe2In2Cu2 | PBE | optimized geometry

Output
ΔH_f (0 K), kJ per mole of atoms: -24.07

Geometry as POSCAR:
```
AcCe2In2Cu2
1.0
2.2938 1.3243 9.6432
-2.2938 1.3243 9.6432
0.0000 -2.6487 9.6432
Ac Ce In Cu
1 2 2 2
direct
0.0000 0.0000 0.0000 Ac
0.1439 0.1439 0.1439 Ce
0.8561 0.8561 0.8561 Ce
0.2575 0.2575 0.2575 In
0.7425 0.7425 0.7425 In
0.4326 0.4326 0.4326 Cu
0.5674 0.5674 0.5674 Cu
```



Ag3SnRh | PBE | optimized geometry

Output
ΔH_f (0 K), kJ per mole of atoms: 82.08

Geometry as POSCAR:
```
Ag3SnRh
1.0
5.0289 0.0000 0.0000
0.0000 5.0289 0.0000
0.0000 0.0000 5.0289
Ag Sn Rh
3 1 1
direct
0.0000 0.0000 0.5000 Ag
0.0000 0.5000 0.0000 Ag
0.5000 0.0000 0.0000 Ag
0.5000 0.5000 0.5000 Sn
0.0000 0.0000 0.0000 Rh
```



Tb4TlFe | PBE | optimized geometry

Output
ΔH_f (0 K), kJ per mole of atoms: -14.04

Geometry as POSCAR:
```
Tb4TlFe
1.0
4.3837 -6.3877 0.0000
4.3837 6.3877 0.0000
-1.7468 0.0000 5.8498
Tb Tl Fe
8 2 2
direct
0.0550 0.7317 0.9559 Tb
0.1984 0.3573 0.6046 Tb
0.2683 0.9450 0.5441 Tb
0.3573 0.1984 0.1046 Tb
0.6427 0.8016 0.8954 Tb
0.7317 0.0550 0.4559 Tb
0.8016 0.6427 0.3954 Tb
0.9450 0.2683 0.0441 Tb
0.3745 0.6255 0.2500 Tl
0.6255 0.3745 0.7500 Tl
0.0006 0.9994 0.7500 Fe
0.9994 0.0006 0.2500 Fe
```



Computed calculated total energy (eV for the cell shown) in order:
-24.73 -21.99 -31.39 -15.65 -60.45